[1]
The following is a PBEsol calculation of Si2SbAu after structural relaxation, from Alexandria.

Values from the calculation:
The space-group type is Pmmm (47). Its crystal system is orthorhombic. The total magnetization comes out at 0.00 μB per cell. The density of states at the Fermi level is 1.8 states/eV/f.u. Its uncorrected formation energy is 7.37 kcal/mol of atoms. Its uncorrected energy is -4.67 eV per atom.

Cell: 3.361 3.560 6.253 Å, 90.00 90.00 90.00°
Fractional coordinates of all 4 atoms:
Si 0.000 0.000 0.200
Si 0.000 0.000 0.800
Au 0.500 0.500 0.000
Sb 0.500 0.500 0.500



[2]
The following is a PBEsol calculation of SiSbAu2 after structural relaxation, from Alexandria.

Values from the calculation:
The energy above the lowest structure with this stoichiometry is 243 meV/atom. The space-group type is Fm-3m (225). Its crystal system is cubic. The total magnetization comes out at 0.00 μB per cell. The density of states at the Fermi level is 1.4 states/eV/f.u. Its uncorrected formation energy is 5.51 kcal/mol of atoms. Its uncorrected energy is -4.30 eV per atom.

Cell: 4.758 4.758 4.758 Å, 60.00 60.00 60.00°
Fractional coordinates of all 4 atoms:
Sb 0.000 0.000 0.000
Au 0.750 0.750 0.750
Au 0.250 0.250 0.250
Si 0.500 0.500 0.500



[3]
The following is a PBEsol calculation of Sm3Sb4Au3 after structural relaxation, from Alexandria.

Values from the calculation:
The space-group type is I-43d (220). Its crystal system is cubic. The total magnetization comes out at 0.00 μB per cell. Its uncorrected formation energy is -21.03 kcal/mol of atoms. Its uncorrected energy is -5.44 eV per atom.

Cell: 8.559 8.559 8.559 Å, 109.47 109.47 109.47°
Fractional coordinates of all 20 atoms:
Sb 0.500 0.824 0.500
Sb 0.324 0.000 0.000
Sb 0.676 0.676 0.176
Sb 0.000 0.500 0.824
Sb 0.176 0.176 0.676
Sb 0.824 0.000 0.000
Sb 0.500 0.324 0.500
Sb 0.000 0.500 0.324
Au 0.625 0.375 0.250
Au 0.375 0.750 0.125
Au 0.875 0.125 0.750
Au 0.750 0.625 0.875
Au 0.250 0.875 0.625
Au 0.125 0.250 0.375
Sm 0.125 0.875 0.250
Sm 0.875 0.750 0.625
Sm 0.375 0.625 0.750
Sm 0.625 0.250 0.875
Sm 0.750 0.125 0.375
Sm 0.250 0.375 0.125



[4]
The following is a PBEsol calculation of SnSbAu3 after structural relaxation, from Alexandria.

Values from the calculation:
The space-group type is Pm-3m (221). Its crystal system is cubic. The total magnetization comes out at 0.00 μB per cell. The density of states at the Fermi level is 4.4 states/eV/f.u. Its uncorrected formation energy is 15.98 kcal/mol of atoms. Its uncorrected energy is -3.42 eV per atom.

Cell: 5.066 5.066 5.066 Å, 90.00 90.00 90.00°
Fractional coordinates of all 5 atoms:
Au 0.000 0.500 0.000
Au 0.000 0.000 0.500
Au 0.500 0.000 0.000
Sn 0.000 0.000 0.000
Sb 0.500 0.500 0.500



[5]
The following is a PBEsol calculation of Sn2SbAu2 after structural relaxation, from Alexandria.

Values from the calculation:
The space-group type is I4/mmm (139). Its crystal system is tetragonal. The total magnetization comes out at 0.00 μB per cell. The density of states at the Fermi level is 2.0 states/eV/f.u. Its uncorrected formation energy is 1.56 kcal/mol of atoms. Its uncorrected energy is -4.12 eV per atom.

Cell: 4.371 4.371 6.875 Å, 108.54 108.54 90.00°
Fractional coordinates of all 5 atoms:
Au 0.394 0.394 0.787
Au 0.606 0.606 0.213
Sn 0.250 0.750 0.500
Sn 0.750 0.250 0.500
Sb 0.000 0.000 0.000



[6]
The following is a PBEsol calculation of Sr2SbAu after structural relaxation, from Alexandria.

Values from the calculation:
The space-group type is P4/mmm (123). Its crystal system is tetragonal. The total magnetization comes out at 0.00 μB per cell. The density of states at the Fermi level is 1.1 states/eV/f.u. Its uncorrected formation energy is -19.18 kcal/mol of atoms. Its uncorrected energy is -3.87 eV per atom.

Cell: 3.936 5.451 5.451 Å, 90.00 90.00 90.00°
Fractional coordinates of all 4 atoms:
Au 0.500 0.500 0.500
Sr 0.000 0.000 0.500
Sr 0.000 0.500 0.000
Sb 0.500 0.000 0.000



[7]
The following is a PBEsol calculation of Sr2SbAu after structural relaxation, from Alexandria.

Values from the calculation:
The space-group type is Amm2 (38). Its crystal system is orthorhombic. The total magnetization comes out at 0.00 μB per cell. The density of states at the Fermi level is 1.0 states/eV/f.u. Its uncorrected formation energy is -20.09 kcal/mol of atoms. Its uncorrected energy is -3.91 eV per atom.

Cell: 4.452 4.659 6.336 Å, 90.00 110.57 90.00°
Fractional coordinates of all 4 atoms:
Au 0.544 0.000 0.087
Sr 0.267 0.000 0.534
Sr 0.987 0.500 0.974
Sb 0.702 0.500 0.405



[8]
The following is a PBEsol calculation of TaSbAu2 after structural relaxation, from Alexandria.

Values from the calculation:
The space-group type is Pmmm (47). Its crystal system is orthorhombic. The total magnetization comes out at 0.00 μB per cell. The density of states at the Fermi level is 3.2 states/eV/f.u. Its uncorrected formation energy is 3.41 kcal/mol of atoms. Its uncorrected energy is -6.09 eV per atom.

Cell: 3.777 4.321 4.490 Å, 90.00 90.00 90.00°
Fractional coordinates of all 4 atoms:
Sb 0.500 0.000 0.500
Au 0.500 0.500 0.000
Au 0.000 0.000 0.000
Ta 0.000 0.500 0.500



[9]
The following is a PBEsol calculation of TaSbAu2 after structural relaxation, from Alexandria.

Values from the calculation:
The space-group type is Cmmm (65). Its crystal system is orthorhombic. The total magnetization comes out at 0.00 μB per cell. The density of states at the Fermi level is 2.2 states/eV/f.u. Its uncorrected formation energy is 2.67 kcal/mol of atoms. Its uncorrected energy is -6.12 eV per atom.

Cell: 3.142 5.098 5.098 Å, 113.95 90.00 90.00°
Fractional coordinates of all 4 atoms:
Sb 0.500 0.000 0.000
Ta 0.500 0.500 0.500
Au 0.000 0.500 0.000
Au 0.000 0.000 0.500



[10]
The following is a PBEsol calculation of TcSbAu2 after structural relaxation, from Alexandria.

Values from the calculation:
The space-group type is I-4m2 (119). Its crystal system is tetragonal. The total magnetization comes out at 0.00 μB per cell. The density of states at the Fermi level is 2.9 states/eV/f.u. Its uncorrected formation energy is 7.64 kcal/mol of atoms. Its uncorrected energy is -5.59 eV per atom.

Cell: 4.278 4.279 4.832 Å, 116.28 116.28 90.00°
Fractional coordinates of all 4 atoms:
Au 0.000 0.000 0.000
Au 0.250 0.750 0.500
Sb 0.500 0.500 0.000
Tc 0.750 0.250 0.500



[11]
The following is a PBEsol calculation of TcSbAu2 after structural relaxation, from Alexandria.

Values from the calculation:
The space-group type is P2/m (10). Its crystal system is monoclinic. The total magnetization comes out at 0.59 μB per cell. The density of states at the Fermi level is 2.8 states/eV/f.u. Its uncorrected formation energy is 7.96 kcal/mol of atoms. Its uncorrected energy is -5.57 eV per atom.

Cell: 3.075 4.489 5.170 Å, 90.00 90.00 90.78°
Each line ends with the local moment (μB).
Fractional coordinates of all 4 atoms:
Tc 0.500 0.000 0.500  0.55
Sb 0.000 0.500 0.500  -0.01
Au 0.251 0.245 0.000  0.01
Au 0.749 0.755 0.000  0.01



[12]
The following is a PBEsol calculation of SbTeAu3 after structural relaxation, from Alexandria.

Values from the calculation:
The space-group type is Pm-3m (221). Its crystal system is cubic. The total magnetization comes out at 0.17 μB per cell. The density of states at the Fermi level is 5.2 states/eV/f.u. Its uncorrected formation energy is 17.87 kcal/mol of atoms. Its uncorrected energy is -3.20 eV per atom.

Cell: 5.141 5.141 5.141 Å, 90.00 90.00 90.00°
Each line ends with the local moment (μB).
Fractional coordinates of all 5 atoms:
Te 0.000 0.000 0.000  0.01
Au 0.000 0.000 0.500  0.01
Au 0.500 0.000 0.000  0.01
Au 0.000 0.500 0.000  0.01
Sb 0.500 0.500 0.500  0.06